# 1
TiGaRe2 PBE relaxed; ΔH_f (0 K) = 0.670 eV/atom; space group = No. 122; DFT total energy = -8.285 eV per atom
1.0
-3.5213 3.5213 2.6524
3.5213 -3.5213 2.6524
3.5213 3.5213 -2.6524
Ti Ga Re
2 2 4
Direct
0.0000 0.0000 0.0000
0.7500 0.2500 0.5000
0.2500 0.7500 0.5000
0.5000 0.5000 0.0000
0.1246 0.6250 0.9996
0.3750 0.3746 0.4996
0.6254 0.1250 0.0004
0.8750 0.8754 0.5004


# 2
Ti7Ga2Re PBE relaxed; ΔH_f (0 K) = 0.726 eV/atom; space group = No. 225; DFT total energy = -6.651 eV per atom
1.0
0.0000 4.6844 4.6844
4.6844 0.0000 4.6844
4.6844 4.6844 0.0000
Ti Ga Re
7 2 1
Direct
0.0000 0.0000 0.0000
0.2475 0.2475 0.7525
0.2475 0.7525 0.2475
0.2475 0.7525 0.7525
0.7525 0.2475 0.2475
0.7525 0.2475 0.7525
0.7525 0.7525 0.2475
0.2500 0.2500 0.2500
0.7500 0.7500 0.7500
0.5000 0.5000 0.5000


# 3
Ti3GaRe2 PBE relaxed; ΔH_f (0 K) = -0.495 eV/atom; space group = No. 123; DFT total energy = -9.096 eV per atom
1.0
3.1825 0.0000 0.0000
0.0000 3.1825 0.0000
0.0000 0.0000 9.1270
Ti Ga Re
3 1 2
Direct
0.0000 0.0000 0.0000
0.0000 0.0000 0.3263
0.0000 0.0000 0.6737
0.5000 0.5000 0.5000
0.5000 0.5000 0.1719
0.5000 0.5000 0.8281


# 4
Ti2GaRe2 PBE relaxed; ΔH_f (0 K) = -0.083 eV/atom; space group = No. 65; DFT total energy = -8.826 eV per atom
1.0
2.0242 -6.9559 0.0000
2.0242 6.9559 0.0000
0.0000 0.0000 2.8568
Ti Ga Re
2 1 2
Direct
0.1092 0.8908 0.0000
0.8908 0.1092 0.0000
0.5000 0.5000 0.5000
0.3017 0.6983 0.5000
0.6983 0.3017 0.5000


# 5
Ti4GaRe PBE relaxed; ΔH_f (0 K) = 0.080 eV/atom; space group = No. 166; DFT total energy = -7.762 eV per atom
1.0
2.1711 1.2535 6.9409
-2.1711 1.2535 6.9409
0.0000 -2.5070 6.9409
Ti Ga Re
4 1 1
Direct
0.1203 0.1203 0.1203
0.3705 0.3705 0.3705
0.6295 0.6295 0.6295
0.8797 0.8797 0.8797
0.5000 0.5000 0.5000
0.0000 0.0000 0.0000


# 6
TiGaRe3 PBE relaxed; E above lowest polymorph = 0 meV per atom; ΔH_f (0 K) = 1.582 eV/atom; space group = No. 221; DFT total energy = -8.071 eV per atom
1.0
4.5002 0.0000 0.0000
0.0000 4.5002 0.0000
0.0000 0.0000 4.5002
Ti Ga Re
1 1 3
Direct
0.0000 0.0000 0.0000
0.5000 0.5000 0.5000
0.0000 0.5000 0.5000
0.5000 0.0000 0.5000
0.5000 0.5000 0.0000


# 7
Ti2GaRe PBE relaxed; ΔH_f (0 K) = 0.217 eV/atom; space group = No. 122; DFT total energy = -7.599 eV per atom
1.0
-3.5967 3.5967 2.6383
3.5967 -3.5967 2.6383
3.5967 3.5967 -2.6383
Ti Ga Re
4 2 2
Direct
0.0961 0.6250 0.9711
0.3750 0.3461 0.4711
0.6539 0.1250 0.0289
0.8750 0.9039 0.5289
0.2500 0.7500 0.5000
0.5000 0.5000 0.0000
0.0000 0.0000 0.0000
0.7500 0.2500 0.5000


# 8
TiGa2Re PBE relaxed; ΔH_f (0 K) = 0.143 eV/atom; space group = No. 122; DFT total energy = -6.456 eV per atom
1.0
-1.8751 1.8751 9.4552
1.8751 -1.8751 9.4552
1.8751 1.8751 -9.4552
Ti Ga Re
2 4 2
Direct
0.0000 0.0000 0.0000
0.7500 0.2500 0.5000
0.1309 0.6250 0.0059
0.3750 0.3809 0.5059
0.6191 0.1250 0.9941
0.8750 0.8691 0.4941
0.2500 0.7500 0.5000
0.5000 0.5000 0.0000